Here is a geometry-optimized K2ZnP structure from Alexandria. Energies are from PBE.

Output
Total DFT energy (no corrections) in eV per cell: -16.827
Formation energy from the elements in meV per atom: 116

a b c (Å): 5.032 5.032 9.050
angles (deg): 90.00 90.00 90.00
Positions (direct):
K (0.000, 0.500, 0.250)
K (0.000, 0.500, 0.750)
K (0.500, 0.000, 0.250)
K (0.500, 0.000, 0.750)
Zn (0.000, 0.000, 0.000)
Zn (0.500, 0.500, 0.500)
P (0.000, 0.000, 0.500)
P (0.500, 0.500, 0.000)

Here is a geometry-optimized K2ZnP structure from Alexandria. Energies are from PBE.

Output
Total DFT energy (no corrections) in eV per cell: -34.106
Formation energy from the elements in meV per atom: 88

a b c (Å): 7.541 7.541 7.541
angles (deg): 90.00 90.00 90.00
Positions (direct):
K (0.000, 0.000, 0.000)
K (0.000, 0.500, 0.500)
K (0.250, 0.250, 0.250)
K (0.250, 0.750, 0.750)
K (0.500, 0.000, 0.500)
K (0.500, 0.500, 0.000)
K (0.750, 0.250, 0.750)
K (0.750, 0.750, 0.250)
Zn (0.250, 0.250, 0.750)
Zn (0.250, 0.750, 0.250)
Zn (0.750, 0.250, 0.250)
Zn (0.750, 0.750, 0.750)
P (0.000, 0.000, 0.500)
P (0.000, 0.500, 0.000)
P (0.500, 0.000, 0.000)
P (0.500, 0.500, 0.500)

Here is a geometry-optimized KZnP4 structure from Alexandria. Energies are from PBE.

Output
Total DFT energy (no corrections) in eV per cell: -23.210
Formation energy from the elements in meV per atom: 134

a b c (Å): 5.906 5.906 5.906
angles (deg): 60.00 60.00 60.00
Positions (direct):
K (0.000, 0.000, 0.000)
Zn (0.250, 0.250, 0.250)
P (0.213, 0.596, 0.596)
P (0.596, 0.213, 0.596)
P (0.596, 0.596, 0.213)
P (0.596, 0.596, 0.596)

Here is a geometry-optimized K2ZrZnP structure from Alexandria. Energies are from PBE.

Output
Total DFT energy (no corrections) in eV per cell: -15.007
Formation energy from the elements in meV per atom: 484

a b c (Å): 7.007 7.007 4.964
angles (deg): 90.00 90.00 90.00
Positions (direct):
K (0.000, 0.500, 0.000)
K (0.500, 0.000, 0.000)
Zr (0.000, 0.000, 0.000)
Zn (0.500, 0.500, 0.500)
P (0.000, 0.000, 0.500)

Here is a geometry-optimized K2ZrP structure from Alexandria. Energies are from PBE.

Output
Total DFT energy (no corrections) in eV per cell: -29.949
Formation energy from the elements in meV per atom: 295

a b c (Å): 4.079 4.079 12.173
angles (deg): 90.00 90.00 90.00
Positions (direct):
K (0.000, 0.500, 0.250)
K (0.000, 0.500, 0.750)
K (0.500, 0.000, 0.250)
K (0.500, 0.000, 0.750)
Zr (0.000, 0.000, 0.000)
Zr (0.500, 0.500, 0.500)
P (0.000, 0.000, 0.500)
P (0.500, 0.500, 0.000)

Here is a geometry-optimized K2ZrP structure from Alexandria. Energies are from PBE.

Output
Total DFT energy (no corrections) in eV per cell: -31.098
Formation energy from the elements in meV per atom: 151

a b c (Å): 5.042 17.111 4.140
angles (deg): 90.00 90.00 90.00
Positions (direct):
K (0.000, 0.141, 0.000)
K (0.000, 0.859, 0.000)
K (0.500, 0.359, 0.000)
K (0.500, 0.641, 0.000)
Zr (0.000, 0.500, 0.500)
Zr (0.500, 0.000, 0.500)
P (0.000, 0.000, 0.500)
P (0.500, 0.500, 0.500)

Here is a geometry-optimized K2ZrP structure from Alexandria. Energies are from PBE.

Output
Total DFT energy (no corrections) in eV per cell: -14.307
Formation energy from the elements in meV per atom: 462

a b c (Å): 4.457 4.962 5.494
angles (deg): 90.00 90.00 90.00
Positions (direct):
K (0.000, 0.000, 0.240)
K (0.000, 0.000, 0.760)
Zr (0.500, 0.500, 0.500)
P (0.500, 0.500, 0.000)

Here is a geometry-optimized KZrP structure from Alexandria. Energies are from PBE.

Output
Total DFT energy (no corrections) in eV per cell: -34.819
Formation energy from the elements in meV per atom: -785

a b c (Å): 3.640 12.815 3.690
angles (deg): 90.00 90.00 90.00
Positions (direct):
K (0.000, 0.152, 0.000)
K (0.500, 0.848, 0.500)
Zr (0.000, 0.423, 0.490)
Zr (0.500, 0.577, 0.990)
P (0.000, 0.634, 0.490)
P (0.500, 0.366, 0.990)